# Li7Mn2Co3O12 GGA+U relaxed
data_Li7Mn2Co3O12
_space_group_name_H-M_alt 'P 1'
_space_group_IT_number 1
_space_group_name_Hall 'P 1'
_cell_length_a 5.020
_cell_length_b 5.180
_cell_length_c 8.730
_cell_angle_alpha 73.83
_cell_angle_beta 85.29
_cell_angle_gamma 79.77
loop_
_atom_site_label
_atom_site_fract_x
_atom_site_fract_y
_atom_site_fract_z
Li1 0.000 0.000 0.000
Li2 0.001 0.328 0.690
Li3 0.256 0.756 0.761
Li4 0.487 0.496 0.530
Li5 0.493 0.168 0.841
Li6 0.498 0.831 0.173
Li7 0.998 0.664 0.350
Mn1 0.247 0.079 0.435
Mn2 0.744 0.241 0.262
Co1 0.245 0.419 0.081
Co2 0.743 0.580 0.928
Co3 0.760 0.909 0.617
O1 0.106 0.053 0.232
O2 0.107 0.381 0.900
O3 0.127 0.747 0.542
O4 0.370 0.128 0.621
O5 0.379 0.420 0.301
O6 0.389 0.758 0.975
O7 0.613 0.906 0.390
O8 0.622 0.200 0.071
O9 0.640 0.553 0.729
O10 0.858 0.583 0.140
O11 0.861 0.961 0.800
O12 0.885 0.278 0.457
# Total moment   16.0 Bohr magnetons per cell
# DFT total energy   -5.860 eV/atom
# Calculated volume   8.936 A^3/atom
# Offset from the most stable computed form   36 meV per atom